# 1
This record from the Alexandria database describes a relaxed structure of AcLuPd. The functional is GGA-PBE.

Computed properties:
SG = P3m1 (156)
distance to the lowest polymorph of the same formula = 0.0710 eV/atom
energy of formation from the pure elements = -0.44 eV/atom
uncorrected energy = -15.14 eV for the cell shown
N(E_F) = 3.662 states/eV/f.u.

```
data_AcLuPd
_cell_length_a 4.261
_cell_length_b 4.261
_cell_length_c 6.219
_cell_angle_alpha 90.00
_cell_angle_beta 90.00
_cell_angle_gamma 120.00
_space_group_name_H-M_alt 'P 1'
_space_group_IT_number 1
loop_
_space_group_symop_operation_xyz
'x,y,z'
loop_
_atom_site_label
_atom_site_fract_x
_atom_site_fract_y
_atom_site_fract_z
Ac1 0.000 0.000 0.000
Lu1 0.333 0.667 0.502
Pd1 0.667 0.333 0.303
```

# 2
This record from the Alexandria database describes a relaxed structure of Ba2NbAlO6. The functional is GGA-PBE.

Computed properties:
SG = R-3m (166)
uncorrected energy = -151.83 eV for the cell shown
energy relative to the elements, uncorrected = -28.508 eV per formula unit
N(E_F) = 0.000 states/eV/f.u.

```
data_Ba2NbAlO6
_cell_length_a 10.063
_cell_length_b 10.063
_cell_length_c 10.063
_cell_angle_alpha 33.68
_cell_angle_beta 33.68
_cell_angle_gamma 33.68
_space_group_name_H-M_alt 'P 1'
_space_group_IT_number 1
loop_
_space_group_symop_operation_xyz
'x,y,z'
loop_
_atom_site_label
_atom_site_fract_x
_atom_site_fract_y
_atom_site_fract_z
Ba1 0.132 0.132 0.132
Ba2 0.282 0.282 0.282
Ba3 0.718 0.718 0.718
Ba4 0.868 0.868 0.868
Nb1 0.406 0.406 0.406
Nb2 0.594 0.594 0.594
Al1 0.000 0.000 0.000
Al2 0.500 0.500 0.500
O1 0.159 0.606 0.606
O2 0.201 0.201 0.714
O3 0.201 0.714 0.201
O4 0.286 0.799 0.799
O5 0.394 0.394 0.841
O6 0.394 0.841 0.394
O7 0.606 0.159 0.606
O8 0.606 0.606 0.159
O9 0.714 0.201 0.201
O10 0.799 0.286 0.799
O11 0.799 0.799 0.286
O12 0.841 0.394 0.394
```

# 3
This record from the Alexandria database describes a relaxed structure of PmScIr. The functional is GGA-PBE.

Computed properties:
SG = Pnma (62)
distance to the lowest polymorph of the same formula = 0.0450 eV/atom
energy of formation from the pure elements = -0.65 eV/atom
uncorrected energy = -87.60 eV for the cell shown
N(E_F) = 1.960 states/eV/f.u.

```
data_PmScIr
_cell_length_a 8.114
_cell_length_b 4.898
_cell_length_c 7.057
_cell_angle_alpha 90.00
_cell_angle_beta 90.00
_cell_angle_gamma 90.00
_space_group_name_H-M_alt 'P 1'
_space_group_IT_number 1
loop_
_space_group_symop_operation_xyz
'x,y,z'
loop_
_atom_site_label
_atom_site_fract_x
_atom_site_fract_y
_atom_site_fract_z
Pm1 0.044 0.250 0.184
Pm2 0.456 0.750 0.684
Pm3 0.544 0.250 0.316
Pm4 0.956 0.750 0.816
Sc1 0.178 0.250 0.626
Sc2 0.322 0.750 0.126
Sc3 0.678 0.250 0.874
Sc4 0.822 0.750 0.374
Ir1 0.147 0.750 0.443
Ir2 0.353 0.250 0.943
Ir3 0.647 0.750 0.057
Ir4 0.853 0.250 0.557
```